Pa2Be3CoSi4 | Alexandria via LeMat-Bulk | GGA-PBE | optimized geometry; uncorrected energy = -0.2335 Ha/atom; ΔE_f (raw) = -0.456 eV per atom; mass density = 7.64 g/cm³
1.0
3.9723 0.0000 0.0000
0.0000 3.9723 0.0000
0.0000 0.0000 9.0965
Pa Be Co Si
2 3 1 4
Cartesian
0.0000 1.9861 2.2301
1.9861 0.0000 6.8664
0.0000 0.0000 0.0000
0.0000 1.9861 5.6915
1.9861 0.0000 3.4051
1.9861 1.9861 0.0000
0.0000 0.0000 4.5483
0.0000 1.9861 7.9216
1.9861 0.0000 1.1749
1.9861 1.9861 4.5483

***

PaBeCo4Si2 | Alexandria via LeMat-Bulk | GGA-PBE | optimized geometry; uncorrected energy = -0.2638 Ha/atom; ΔE_f (raw) = -0.617 eV per atom; mass density = 8.95 g/cm³
1.0
1.9054 1.1001 7.8464
-1.9054 1.1001 7.8464
0.0000 -2.2001 7.8464
Pa Be Co Si
1 1 4 2
Cartesian
0.0000 0.0000 0.0000
0.0000 0.0000 11.7697
0.0000 0.0000 3.1636
0.0000 0.0000 9.5133
0.0000 0.0000 14.0261
0.0000 0.0000 20.3757
0.0000 0.0000 5.5080
0.0000 0.0000 18.0313

***

PaBeCoSi2 | Alexandria via LeMat-Bulk | GGA-PBE | optimized geometry; uncorrected energy = -0.2513 Ha/atom; ΔE_f (raw) = -0.603 eV per atom; mass density = 8.12 g/cm³
1.0
-1.9578 1.9578 4.7392
1.9578 -1.9578 4.7392
1.9578 1.9578 -4.7392
Pa Be Co Si
1 1 1 2
Cartesian
0.0000 0.0000 0.0000
0.0000 1.9578 2.3696
1.9578 0.0000 2.3696
0.0000 0.0000 3.5395
0.0000 0.0000 5.9388

***

Pa3Be2Co9Si | Alexandria via LeMat-Bulk | GGA-PBE | optimized geometry; uncorrected energy = -0.2670 Ha/atom; ΔE_f (raw) = -0.245 eV per atom; mass density = 10.19 g/cm³
1.0
5.2329 0.0000 0.0000
-2.6164 4.5318 0.0000
0.0000 0.0000 8.7254
Pa Be Co Si
3 2 9 1
Cartesian
0.0000 0.0000 0.0000
0.0000 3.0212 5.8124
2.6164 1.5106 2.9130
0.0000 3.0212 1.3481
2.6164 1.5106 7.3773
-1.3082 2.2659 0.0000
0.0000 1.4974 2.6900
-1.3196 3.7831 2.6900
1.2968 0.7487 6.0354
2.6164 0.0000 0.0000
1.3082 2.2659 0.0000
1.3196 3.7831 2.6900
3.9361 0.7487 6.0354
2.6164 3.0344 6.0354
0.0000 0.0000 4.3627